DFT (PBE+U) results for a relaxed Sr3Mn2FeO9 crystal.

Geometry as POSCAR:
```
Sr3Mn2FeO9
1.0
-1.7221 4.0476 3.3367
-3.3838 -4.1824 -1.2406
2.2905 -3.4425 5.3580
O Fe Mn Sr
9 1 2 3
direct
0.1698 0.3395 0.3294
0.6605 0.8302 0.3294
0.8302 0.6605 0.6706
0.8302 0.1698 0.6706
0.1698 0.8302 0.3294
0.0000 0.5000 0.0000
0.3395 0.1698 0.6706
0.5000 0.5000 0.0000
0.5000 0.0000 0.0000
0.0000 0.0000 0.5000
0.6667 0.3333 0.8323
0.3333 0.6667 0.1677
0.6667 0.3333 0.3316
0.3333 0.6667 0.6684
0.0000 0.0000 0.0000
```

Output
Its space group is P-3m1. For the density of states at the Fermi level, the calculation gives 4.71 states/eV/cell. The crystal system is trigonal. Its total energy is -6.700 eV per atom.